! Ru3Pt, relaxed, DFT PBEsol; values from VASP
&SYSTEM
  ibrav = 0, nat = 4, ntyp = 2
/
ATOMIC_SPECIES
Ru 101.07 Ru.upf
Pt 195.08 Pt.upf
ATOMIC_POSITIONS angstrom
Ru -0.342 -2.099 -1.714
Ru -0.318 -2.494 0.946
Ru 1.680 -3.304 -0.597
Pt 0.000 0.000 0.000
CELL_PARAMETERS angstrom
-2.391 -1.188 -0.155
1.975 -0.416 -4.202
1.755 -3.799 2.046
! * DFT total energy: -0.342 hartree per atom
! * energy relative to the elements: 0.06 eV per atom
! * V: 54.8 Å³ per cell